# 1
! LaPm2Y6Ho3 (PBE, optimized geometry); values from VASP
! DFT formation energy	0.021	eV/atom
! uncorrected energy	-5.558	eV per atom
&SYSTEM
  ibrav = 0, nat = 12, ntyp = 4
/
ATOMIC_SPECIES
Y 88.91 Y.upf
Pm 145.00 Pm.upf
Ho 164.93 Ho.upf
La 138.91 La.upf
CELL_PARAMETERS angstrom
6.221 0.001 0.013
-3.108 5.388 0.013
-1.059 -1.834 11.673
ATOMIC_POSITIONS crystal
Y 0.085 0.419 0.254
Y 0.249 0.249 0.746
Y 0.419 0.085 0.254
Y 0.915 0.581 0.746
Y 0.751 0.751 0.254
Y 0.581 0.915 0.746
Pm 0.333 0.667 0.000
Pm 0.667 0.333 0.000
Ho 0.500 0.500 0.500
Ho 0.167 0.833 0.500
Ho 0.833 0.167 0.500
La 0.000 0.000 0.000

# 2
! CrCdFe2 (PBE, optimized geometry); values from VASP
! DFT formation energy	0.562	eV/atom
! uncorrected energy	-6.304	eV per atom
&SYSTEM
  ibrav = 0, nat = 4, ntyp = 3
/
ATOMIC_SPECIES
Fe 55.84 Fe.upf
Cd 112.41 Cd.upf
Cr 52.00 Cr.upf
CELL_PARAMETERS angstrom
-1.568 -4.002 -0.036
2.236 -3.168 -1.853
1.824 -3.045 2.423
ATOMIC_POSITIONS crystal
Fe 0.250 0.250 0.250
Fe 0.000 0.000 0.000
Cd 0.500 0.500 0.500
Cr 0.750 0.750 0.750

# 3
! Y2MgTa (PBE, optimized geometry); values from VASP
! DFT formation energy	0.278	eV/atom
! uncorrected energy	-6.316	eV per atom
&SYSTEM
  ibrav = 0, nat = 4, ntyp = 3
/
ATOMIC_SPECIES
Ta 180.95 Ta.upf
Y 88.91 Y.upf
Mg 24.30 Mg.upf
CELL_PARAMETERS angstrom
-0.013 0.444 -3.139
-2.128 -2.328 -0.321
-7.422 6.653 0.973
ATOMIC_POSITIONS crystal
Ta 0.500 0.500 0.739
Y 0.000 0.000 0.965
Y 0.500 0.500 0.270
Mg 0.000 0.000 0.526

# 4
! Ag2Ir3O8 (PBE, optimized geometry); values from VASP
! uncorrected energy	-6.043	eV per atom
&SYSTEM
  ibrav = 0, nat = 13, ntyp = 3
/
ATOMIC_SPECIES
Ag 107.87 Ag.upf
O 16.00 O.upf
Ir 192.22 Ir.upf
CELL_PARAMETERS angstrom
-2.021 -4.952 -0.734
2.138 -0.010 6.050
-3.505 2.484 4.766
ATOMIC_POSITIONS crystal
Ag 0.610 0.691 0.691
Ag 0.390 0.309 0.309
O 0.172 0.602 0.602
O 0.742 0.868 0.311
O 0.742 0.311 0.868
O 0.828 0.398 0.398
O 0.258 0.689 0.132
O 0.220 0.094 0.094
O 0.258 0.132 0.689
O 0.780 0.906 0.906
Ir 0.500 0.000 0.000
Ir 0.000 0.257 0.743
Ir 0.000 0.743 0.257